No. 1
# TcIr6Rh GGA-PBE optimized geometry
data_TcIr6Rh
_cell_length_a 3.8682
_cell_length_b 3.8682
_cell_length_c 7.7344
_cell_angle_alpha 90.00
_cell_angle_beta 90.00
_cell_angle_gamma 90.00
_space_group_name_H-M_alt 'P 4/m m m'
_space_group_IT_number 123
_space_group_name_Hall '-P 4 2'
loop_
_atom_site_label
_atom_site_fract_x
_atom_site_fract_y
_atom_site_fract_z
_atom_site_occupancy
Tc1 0.0000 0.0000 0.0000 1
Ir1 0.0000 0.5000 0.2466 1
Ir2 0.5000 0.5000 0.0000 1
Ir3 0.5000 0.5000 0.5000 1
Rh1 0.0000 0.0000 0.5000 1
# Total DFT energy (no corrections), eV per atom: -8.944
# Energy relative to the elements, eV/atom: -0.084

---

No. 2
# TcIrRh GGA-PBE optimized geometry
data_TcIrRh
_cell_length_a 5.4353
_cell_length_b 3.8637
_cell_length_c 8.2125
_cell_angle_alpha 90.00
_cell_angle_beta 90.00
_cell_angle_gamma 90.00
_space_group_name_H-M_alt 'P n m a'
_space_group_IT_number 62
loop_
_space_group_symop_operation_xyz
'x,y,z'
'-x,-y,-z'
'-x+1/2,-y,z+1/2'
'x+1/2,y,-z+1/2'
'x+1/2,-y+1/2,-z+1/2'
'-x+1/2,y+1/2,z+1/2'
'-x,y+1/2,-z'
'x,-y+1/2,z'
loop_
_atom_site_label
_atom_site_fract_x
_atom_site_fract_y
_atom_site_fract_z
_atom_site_occupancy
Tc1 0.1250 0.2500 0.2454 1
Ir1 0.1233 0.2500 0.9154 1
Rh1 0.1254 0.2500 0.5865 1
# Relative energy among the computed polymorphs, eV/f.u.: 0.02
# Total DFT energy (no corrections), eV per atom: -8.990
# Energy relative to the elements, eV/atom: -0.130

---

No. 3
# Tc2Ir15Rh2 GGA-PBE optimized geometry
data_Tc2Ir15Rh2
_cell_length_a 8.9050
_cell_length_b 8.9050
_cell_length_c 13.3809
_cell_angle_alpha 90.00
_cell_angle_beta 90.00
_cell_angle_gamma 120.00
_space_group_name_H-M_alt 'R -3 m'
_space_group_IT_number 166
_space_group_name_Hall '-R 3 2"'
loop_
_atom_site_label
_atom_site_fract_x
_atom_site_fract_y
_atom_site_fract_z
_atom_site_occupancy
Tc1 0.0000 0.0000 0.0849 1
Ir1 0.0000 0.3528 0.0000 1
Ir2 0.0000 0.5000 0.5000 1
Ir3 0.0018 0.5009 0.8250 1
Rh1 0.0000 0.0000 0.2860 1
# Total DFT energy (no corrections), eV per atom: -8.450
# Energy relative to the elements, eV/atom: 0.411

---

No. 4
# TcIrRh4 GGA-PBE optimized geometry
data_TcIrRh4
_cell_length_a 4.7125
_cell_length_b 6.0877
_cell_length_c 6.6700
_cell_angle_alpha 68.61
_cell_angle_beta 89.99
_cell_angle_gamma 75.07
_space_group_name_H-M_alt 'P -1'
_space_group_IT_number 2
loop_
_space_group_symop_operation_xyz
'x,y,z'
'-x,-y,-z'
loop_
_atom_site_label
_atom_site_fract_x
_atom_site_fract_y
_atom_site_fract_z
_atom_site_occupancy
Tc1 0.2063 0.1286 0.4567 1
Ir1 0.0392 0.6238 0.2951 1
Rh1 0.1207 0.8743 0.8716 1
Rh2 0.2890 0.3738 0.0444 1
Rh3 0.3737 0.6303 0.6218 1
Rh4 0.4620 0.8789 0.2111 1
# Relative energy among the computed polymorphs, eV/f.u.: 0.09
# Total DFT energy (no corrections), eV per atom: -8.167
# Energy relative to the elements, eV/atom: -0.061

---

No. 5
# TcIr4Rh7 GGA-PBE optimized geometry
data_TcIr4Rh7
_cell_length_a 10.6186
_cell_length_b 4.5664
_cell_length_c 9.3669
_cell_angle_alpha 90.00
_cell_angle_beta 122.35
_cell_angle_gamma 90.00
_space_group_name_H-M_alt 'C 1 2/m 1'
_space_group_IT_number 12
loop_
_space_group_symop_operation_xyz
'x,y,z'
'-x,-y,-z'
'-x,y,-z'
'x,-y,z'
'x+1/2,y+1/2,z'
'-x+1/2,-y+1/2,-z'
'-x+1/2,y+1/2,-z'
'x+1/2,-y+1/2,z'
loop_
_atom_site_label
_atom_site_fract_x
_atom_site_fract_y
_atom_site_fract_z
_atom_site_occupancy
Tc1 0.0000 0.0000 0.0000 1
Ir1 0.0684 0.5000 0.7723 1
Ir2 0.2125 0.5000 0.3197 1
Rh1 0.0000 0.5000 0.0000 1
Rh2 0.0750 0.0000 0.3494 1
Rh3 0.1396 0.5000 0.5527 1
Rh4 0.2142 0.0000 0.9088 1
# Total DFT energy (no corrections), eV per atom: -7.553
# Energy relative to the elements, eV/atom: 0.553

---

No. 6
# Tc2Ir3Rh8 GGA-PBE optimized geometry
data_Tc2Ir3Rh8
_cell_length_a 6.1151
_cell_length_b 15.4938
_cell_length_c 4.2304
_cell_angle_alpha 90.00
_cell_angle_beta 90.00
_cell_angle_gamma 90.00
_space_group_name_H-M_alt 'C m m m'
_space_group_IT_number 65
_space_group_name_Hall '-C 2 2'
loop_
_atom_site_label
_atom_site_fract_x
_atom_site_fract_y
_atom_site_fract_z
_atom_site_occupancy
Tc1 0.0000 0.2371 0.0000 1
Ir1 0.0000 0.0000 0.0000 1
Ir2 0.2091 0.5000 0.5000 1
Rh1 0.0000 0.1318 0.5000 1
Rh2 0.0000 0.3296 0.5000 1
Rh3 0.2103 0.3850 0.0000 1
# Total DFT energy (no corrections), eV per atom: -7.814
# Energy relative to the elements, eV/atom: 0.350

---

- Which of these has the lowest total DFT energy (no corrections)?
  TcIrRh

---

- Look up the total DFT energy (no corrections) of the fourth one.
  -8.167 eV per atom

---

Please write out number 5 again, unchanged.
# TcIr4Rh7 GGA-PBE optimized geometry
data_TcIr4Rh7
_cell_length_a 10.6186
_cell_length_b 4.5664
_cell_length_c 9.3669
_cell_angle_alpha 90.00
_cell_angle_beta 122.35
_cell_angle_gamma 90.00
_space_group_name_H-M_alt 'C 1 2/m 1'
_space_group_IT_number 12
loop_
_space_group_symop_operation_xyz
'x,y,z'
'-x,-y,-z'
'-x,y,-z'
'x,-y,z'
'x+1/2,y+1/2,z'
'-x+1/2,-y+1/2,-z'
'-x+1/2,y+1/2,-z'
'x+1/2,-y+1/2,z'
loop_
_atom_site_label
_atom_site_fract_x
_atom_site_fract_y
_atom_site_fract_z
_atom_site_occupancy
Tc1 0.0000 0.0000 0.0000 1
Ir1 0.0684 0.5000 0.7723 1
Ir2 0.2125 0.5000 0.3197 1
Rh1 0.0000 0.5000 0.0000 1
Rh2 0.0750 0.0000 0.3494 1
Rh3 0.1396 0.5000 0.5527 1
Rh4 0.2142 0.0000 0.9088 1
# Total DFT energy (no corrections), eV per atom: -7.553
# Energy relative to the elements, eV/atom: 0.553

---

Repeat the sixth record exactly.
# Tc2Ir3Rh8 GGA-PBE optimized geometry
data_Tc2Ir3Rh8
_cell_length_a 6.1151
_cell_length_b 15.4938
_cell_length_c 4.2304
_cell_angle_alpha 90.00
_cell_angle_beta 90.00
_cell_angle_gamma 90.00
_space_group_name_H-M_alt 'C m m m'
_space_group_IT_number 65
_space_group_name_Hall '-C 2 2'
loop_
_atom_site_label
_atom_site_fract_x
_atom_site_fract_y
_atom_site_fract_z
_atom_site_occupancy
Tc1 0.0000 0.2371 0.0000 1
Ir1 0.0000 0.0000 0.0000 1
Ir2 0.2091 0.5000 0.5000 1
Rh1 0.0000 0.1318 0.5000 1
Rh2 0.0000 0.3296 0.5000 1
Rh3 0.2103 0.3850 0.0000 1
# Total DFT energy (no corrections), eV per atom: -7.814
# Energy relative to the elements, eV/atom: 0.350